## a
The following is a DFT calculation (PBE) of Dy12ZnCu6 after structural relaxation.

Cell lengths 9.799, 9.799, 9.799 Å; angles 90.00, 90.00, 90.00 degrees
Space group Im-3 (No. 204)
Symmetry-distinct sites (fractional):
Dy  0.000  0.188  0.294
Zn  0.000  0.000  0.000
Cu  0.000  0.375  0.500

The calculated volume is 24.76 Å³ per atom. Its density of states at the Fermi level is 13.6 states/eV/f.u.



## b
The following is a DFT calculation (PBE) of Dy12ZnCu6 after structural relaxation.

Cell lengths 13.8411, 13.8411, 8.6561 Å; angles 90.00, 90.00, 120.00 degrees
Space group R-3 (No. 148, hexagonal axes)
Symmetry-distinct sites (fractional):
Dy  0.0404  0.8650  0.3333
Dy  0.0627  0.8101  0.9439
Zn  0.0000  0.0000  0.0000
Cu  0.0402  0.7778  0.6196

The calculated volume is 25.20 Å³ per atom. Its density of states at the Fermi level is 20.6 states/eV/f.u.



Which structure is most stable? a, by 149 meV/atom over the runner-up.



## a
The following is a DFT calculation (PBE) of Dy3ZnCu8 after structural relaxation.

Cell lengths 5.1528, 5.1528, 8.4003 Å; angles 90.00, 90.00, 120.00 degrees
Space group P3m1 (No. 156)
Symmetry-distinct sites (fractional):
Dy  0.0000  0.0000  0.0000
Dy  0.0000  0.0000  0.3900
Dy  0.3333  0.6667  0.8428
Zn  0.3333  0.6667  0.4740
Cu  0.0039  0.5019  0.1866
Cu  0.3361  0.1680  0.6814
Cu  0.6667  0.3333  0.4361
Cu  0.6667  0.3333  0.9373

The calculated volume is 16.10 Å³ per atom. Its density of states at the Fermi level is 7.2 states/eV/f.u.



## b
The following is a DFT calculation (PBE) of Dy3ZnCu8 after structural relaxation.

Cell lengths 5.1434, 5.1434, 25.2870 Å; angles 90.00, 90.00, 120.00 degrees
Space group R3m (No. 160, hexagonal axes)
Symmetry-distinct sites (fractional):
Dy  0.0000  0.0000  0.0000
Dy  0.0000  0.0000  0.1271
Dy  0.0000  0.0000  0.6117
Zn  0.0000  0.0000  0.4895
Cu  0.0000  0.0000  0.3073
Cu  0.0000  0.0000  0.8093
Cu  0.0010  0.5005  0.0595
Cu  0.0063  0.5032  0.5574

The calculated volume is 16.09 Å³ per atom. Its density of states at the Fermi level is 7.9 states/eV/f.u.



Which structure is most stable? a, by 12 meV/atom over the runner-up.